(1)
The following is a GGA-PBE calculation of a geometry-optimized Rb2Nd2SbO6 structure, from Alexandria.

Lattice parameters (Å, degrees): 6.1373 6.1373 6.9931 97.69 97.69 119.64
Closest atoms and distances in Å follow each position.
Atoms (fractional coordinates):
O 0.9545 0.6404 0.3335  1 Sb 2.22, 2 Nd 2.39-2.42
O 0.0455 0.3596 0.6665  1 Sb 2.22, 2 Nd 2.39-2.42
O 0.3596 0.0455 0.6665  1 Sb 2.22, 2 Nd 2.39-2.42
O 0.6404 0.9545 0.3335  1 Sb 2.22, 2 Nd 2.39-2.42
O 0.2484 0.2484 0.3311  1 Sb 2.17, 2 Nd 2.43
O 0.7516 0.7516 0.6689  1 Sb 2.17, 2 Nd 2.43
Rb 0.8377 0.1623 0.0000  6 O 2.93-3.19
Rb 0.1623 0.8377 0.0000  6 O 2.93-3.19
Nd 0.3349 0.6651 0.5000  6 O 2.39-2.43
Nd 0.6651 0.3349 0.5000  6 O 2.39-2.43
Sb 0.0000 0.0000 0.5000  6 O 2.17-2.22

Values from the calculation:
The value obtained for the density of states at the Fermi level is 0.527 states/eV per atom. The calculation puts the electronic total energy at -69.46 eV per formula unit. As for the space-group type: C2/m, No. 12. The uncorrected formation energy comes out at -2.192 eV/atom.

---

(2)
The following is a GGA-PBE calculation of a geometry-optimized Rb3NdSb2O6 structure, from Alexandria.

Lattice parameters (Å, degrees): 6.3189 6.3189 7.6138 90.00 90.00 120.00
Closest atoms and distances in Å follow each position.
Atoms (fractional coordinates):
O 0.8249 0.6498 0.6855  1 Sb 1.96
O 0.1751 0.8249 0.3145  1 Sb 1.96
O 0.1751 0.3502 0.3145  1 Sb 1.96
O 0.3502 0.1751 0.6855  1 Sb 1.96
O 0.8249 0.1751 0.6855  1 Sb 1.96
O 0.6498 0.8249 0.3145  1 Sb 1.96
Rb 0.3333 0.6667 0.6560  9 O 3.12-3.17
Rb 0.6667 0.3333 0.3440  9 O 3.12-3.17
Rb 0.0000 0.0000 0.0000  6 O 3.07
Sb 0.6667 0.3333 0.8072  3 O 1.96
Sb 0.3333 0.6667 0.1928  3 O 1.96
Nd 0.0000 0.0000 0.5000  6 O 2.38

Values from the calculation:
The value obtained for the density of states at the Fermi level is 0.000 states/eV per atom. The calculation puts the electronic total energy at -69.01 eV per formula unit. As for the space-group type: P-3m1, No. 164. The uncorrected formation energy comes out at -1.946 eV/atom.

---

(3)
The following is a GGA-PBE calculation of a geometry-optimized Rb3Nd2ScO6 structure, from Alexandria.

Lattice parameters (Å, degrees): 6.1378 6.1378 6.8721 98.52 98.52 120.02
Closest atoms and distances in Å follow each position.
Atoms (fractional coordinates):
Rb 0.5000 0.5000 0.5000  6 O 2.91-3.05
Rb 0.1636 0.8364 0.5000  6 O 2.88-3.08
Rb 0.8364 0.1636 0.5000  6 O 2.88-3.08
O 0.2513 0.2513 0.8239  1 Sc 2.22, 2 Nd 2.42
O 0.3681 0.0586 0.1759  1 Sc 2.22, 2 Nd 2.41-2.42
O 0.0586 0.3681 0.1759  1 Sc 2.22, 2 Nd 2.41-2.42
O 0.9414 0.6319 0.8241  1 Sc 2.22, 2 Nd 2.41-2.42
O 0.7487 0.7487 0.1761  1 Sc 2.22, 2 Nd 2.42
O 0.6319 0.9414 0.8241  1 Sc 2.22, 2 Nd 2.41-2.42
Nd 0.3332 0.6668 0.0000  6 O 2.41-2.42
Nd 0.6668 0.3332 0.0000  6 O 2.41-2.42
Sc 0.0000 0.0000 0.0000  6 O 2.22

Values from the calculation:
The value obtained for the density of states at the Fermi level is 0.000 states/eV per atom. The calculation puts the electronic total energy at -79.25 eV per formula unit. As for the space-group type: C2/m, No. 12. The uncorrected formation energy comes out at -2.561 eV/atom.

---

(4)
The following is a GGA-PBE calculation of a geometry-optimized RbNdSeO6 structure, from Alexandria.

Lattice parameters (Å, degrees): 5.7673 5.7672 6.0395 90.00 90.00 60.00
Closest atoms and distances in Å follow each position.
Atoms (fractional coordinates):
O 0.0729 0.5854 0.6718  1 Se 1.81
O 0.5854 0.3417 0.6718  1 Se 1.81
O 0.3416 0.5854 0.3282  1 Se 1.81
O 0.0729 0.3417 0.3282  1 Se 1.81
O 0.5854 0.0729 0.3282  1 Se 1.81
O 0.3416 0.0729 0.6718  1 Se 1.81
Rb 0.0000 0.0000 0.0000  6 O 2.97
Nd 0.6666 0.6667 0.5000  6 O 2.38
Se 0.3333 0.3333 0.5000  6 O 1.81

Values from the calculation:
The value obtained for the density of states at the Fermi level is 0.539 states/eV per atom. The calculation puts the electronic total energy at -50.54 eV per formula unit. As for the space-group type: P312, No. 149. The uncorrected formation energy comes out at -1.286 eV/atom.

---

(5)
The following is a GGA-PBE calculation of a geometry-optimized RbNdSe2O8 structure, from Alexandria.

Lattice parameters (Å, degrees): 5.6604 5.6604 8.7340 90.00 90.00 120.00
Closest atoms and distances in Å follow each position.
Atoms (fractional coordinates):
O 0.6400 0.7392 0.6703  1 Se 1.68
O 0.2608 0.9008 0.6703  1 Se 1.68
O 0.9008 0.6400 0.3297  1 Se 1.68
O 0.3333 0.6667 0.9265  1 Se 1.64
O 0.3600 0.2608 0.3297  1 Se 1.68
O 0.0992 0.3600 0.6703  1 Se 1.68
O 0.7392 0.0992 0.3297  1 Se 1.68
O 0.6667 0.3333 0.0735  1 Se 1.64
Se 0.3333 0.6667 0.7384  4 O 1.64-1.68
Se 0.6667 0.3333 0.2616  4 O 1.64-1.68
Nd 0.0000 0.0000 0.5000  6 O 2.35
Rb 0.0000 0.0000 0.0000  12 O 3.33-3.41

Values from the calculation:
The value obtained for the density of states at the Fermi level is 0.000 states/eV per atom. The calculation puts the electronic total energy at -70.64 eV per formula unit. As for the space-group type: P-3, No. 147. The uncorrected formation energy comes out at -1.522 eV/atom.

---

(6)
The following is a GGA-PBE calculation of a geometry-optimized RbNdSe2O6 structure, from Alexandria.

Lattice parameters (Å, degrees): 5.8635 5.8635 7.3142 66.37 66.37 60.00
Closest atoms and distances in Å follow each position.
Atoms (fractional coordinates):
Se 0.2734 0.2734 0.1799  3 O 1.72
Se 0.7266 0.7266 0.8201  3 O 1.72
O 0.5333 0.6944 0.7132  1 Se 1.72
O 0.3056 0.9409 0.2868  1 Se 1.72
O 0.9409 0.4667 0.2868  1 Se 1.72
O 0.4667 0.3056 0.2868  1 Se 1.72
O 0.0591 0.5333 0.7132  1 Se 1.72
O 0.6944 0.0591 0.7132  1 Se 1.72
Rb 0.0000 0.0000 0.0000  6 O 3.09
Nd 0.5000 0.5000 0.5000  6 O 2.38

Values from the calculation:
The value obtained for the density of states at the Fermi level is 0.000 states/eV per atom. The calculation puts the electronic total energy at -59.56 eV per formula unit. As for the space-group type: R-3, No. 148. The uncorrected formation energy comes out at -1.711 eV/atom.

---

(7)
The following is a GGA-PBE calculation of a geometry-optimized Rb2NdSiO4 structure, from Alexandria.

Lattice parameters (Å, degrees): 5.8388 7.0342 12.5016 84.44 76.50 65.48
Closest atoms and distances in Å follow each position.
Atoms (fractional coordinates):
Si 0.5000 0.0000 0.0000  4 O 1.67
Si 0.2500 0.5000 0.5000  4 O 1.67
O 0.5658 0.1537 0.0710  1 Si 1.67
O 0.7906 0.8463 0.9290  1 Si 1.67
O 0.4696 0.3463 0.5710  1 Si 1.67
O 0.3868 0.6537 0.4290  1 Si 1.67
O 0.1842 0.3463 0.4290  1 Si 1.67
O 0.9594 0.6537 0.5710  1 Si 1.67
O 0.3632 0.8463 0.0710  1 Si 1.67
O 0.2804 0.1537 0.9290  1 Si 1.67
Nd 0.7500 0.5000 0.5000  4 O 2.29
Nd 0.0000 0.0000 0.0000  4 O 2.29
Rb 0.9330 0.5000 0.1340  4 O 3.36-3.43
Rb 0.8170 0.0000 0.3660  4 O 3.36-3.43
Rb 0.5670 0.5000 0.8660  4 O 3.36-3.43
Rb 0.1830 0.0000 0.6340  4 O 3.36-3.43

Values from the calculation:
The value obtained for the density of states at the Fermi level is 0.240 states/eV per atom. The calculation puts the electronic total energy at -48.85 eV per formula unit. As for the space-group type: Fddd, No. 70. The uncorrected formation energy comes out at -2.111 eV/atom.

---

(8)
The following is a GGA-PBE calculation of a geometry-optimized Rb4Nd3SiO8 structure, from Alexandria.

Lattice parameters (Å, degrees): 6.9956 7.7413 6.9949 116.90 120.00 90.00
Closest atoms and distances in Å follow each position.
Atoms (fractional coordinates):
Si 0.0000 0.5000 0.0000  6 O 1.94
O 0.2693 0.3079 0.5385  3 Nd 2.38
O 0.1882 0.6588 0.3764  1 Si 1.94
O 0.8124 0.3417 0.0292  1 Si 1.94
O 0.8118 0.3412 0.6236  1 Si 1.94
O 0.7307 0.6921 0.4615  3 Nd 2.38
O 0.7832 0.6583 0.9708  1 Si 1.94
O 0.2168 0.3417 0.0292  1 Si 1.94
O 0.1876 0.6583 0.9708  1 Si 1.94
Nd 0.5000 0.5000 0.5000  6 O 2.38-2.47
Nd 0.0000 0.5000 0.5000  6 O 2.38-2.47
Nd 0.5000 0.5000 0.0000  6 O 2.38-2.47
Rb 0.5000 0.0000 0.0000  6 O 3.29-3.30, 6 Rb 3.50
Rb 0.0000 0.0000 0.0000  6 O 2.86-2.92
Rb 0.0000 0.0000 0.5000  6 O 2.87-2.92
Rb 0.5000 0.0000 0.5000  6 O 2.87-2.92

Values from the calculation:
The value obtained for the density of states at the Fermi level is 0.097 states/eV per atom. The calculation puts the electronic total energy at -98.48 eV per formula unit. As for the space-group type: C2/m, No. 12. The uncorrected formation energy comes out at -2.201 eV/atom.

---

Magnetic moment
In order: 0.000, 0.000, 0.000, 0.223, 0.000, 0.000, 0.000, 0.000
Unit: μB/atom